! GGA-PBE Mg3Ga2Ni2, optimized geometry; values from VASP
! SG ... Pbcm (57)
&SYSTEM
  ibrav = 0, nat = 28, ntyp = 3
/
ATOMIC_SPECIES
Mg 24.30 Mg.upf
Ni 58.69 Ni.upf
Ga 69.72 Ga.upf
ATOMIC_POSITIONS crystal
Mg 0.618 0.745 0.750
Mg 0.857 0.396 0.904
Ni 0.638 0.039 0.908
Ni 0.362 0.961 0.408
Ga 0.649 0.750 0.500
Mg 0.857 0.104 0.404
Ga 0.873 0.405 0.250
Ni 0.362 0.539 0.908
Ga 0.351 0.250 0.500
Mg 0.382 0.245 0.750
Ni 0.362 0.539 0.592
Ga 0.351 0.250 0.000
Ni 0.638 0.461 0.092
Mg 0.618 0.755 0.250
Ni 0.362 0.961 0.092
Mg 0.857 0.104 0.096
Ga 0.127 0.905 0.250
Ga 0.873 0.095 0.750
Mg 0.143 0.604 0.096
Mg 0.382 0.255 0.250
Mg 0.143 0.896 0.904
Ga 0.127 0.595 0.750
Mg 0.143 0.896 0.596
Ni 0.638 0.461 0.408
Ni 0.638 0.039 0.592
Mg 0.857 0.396 0.596
Mg 0.143 0.604 0.404
Ga 0.649 0.750 0.000
CELL_PARAMETERS angstrom
5.230 0.000 0.000
0.000 7.066 0.000
0.000 0.000 12.654

! GGA-PBE Mg2GaNi, optimized geometry; values from VASP
! SG ... P4/mmm (123)
&SYSTEM
  ibrav = 0, nat = 4, ntyp = 3
/
ATOMIC_SPECIES
Ni 58.69 Ni.upf
Mg 24.30 Mg.upf
Ga 69.72 Ga.upf
ATOMIC_POSITIONS crystal
Ni 0.500 0.500 0.000
Mg 0.000 0.000 0.224
Ga 0.500 0.500 0.500
Mg 0.000 0.000 0.776
CELL_PARAMETERS angstrom
3.194 0.000 0.000
0.000 3.194 0.000
0.000 0.000 6.429

! GGA-PBE MgGa4Ni5, optimized geometry; values from VASP
! SG ... P4/mmm (123)
&SYSTEM
  ibrav = 0, nat = 10, ntyp = 3
/
ATOMIC_SPECIES
Ni 58.69 Ni.upf
Ga 69.72 Ga.upf
Mg 24.30 Mg.upf
ATOMIC_POSITIONS crystal
Ni 0.500 0.500 0.882
Ga 0.000 0.000 0.403
Ni 0.500 0.500 0.308
Ga 0.000 0.000 0.207
Mg 0.000 0.000 0.000
Ni 0.500 0.500 0.500
Ga 0.000 0.000 0.597
Ga 0.000 0.000 0.793
Ni 0.500 0.500 0.118
Ni 0.500 0.500 0.692
CELL_PARAMETERS angstrom
2.949 0.000 0.000
0.000 2.949 0.000
0.000 0.000 14.717

! GGA-PBE Mg3Ga4Ni2, optimized geometry; values from VASP
! SG ... C2/m (12)
&SYSTEM
  ibrav = 0, nat = 9, ntyp = 3
/
ATOMIC_SPECIES
Ga 69.72 Ga.upf
Mg 24.30 Mg.upf
Ni 58.69 Ni.upf
ATOMIC_POSITIONS crystal
Ga 0.178 0.038 0.605
Mg 0.408 0.488 0.696
Ga 0.298 0.364 0.040
Ni 0.337 0.066 0.260
Ga 0.702 0.636 0.960
Mg 0.000 0.000 0.000
Mg 0.592 0.512 0.304
Ni 0.663 0.934 0.740
Ga 0.822 0.962 0.395
CELL_PARAMETERS angstrom
4.103 0.000 0.928
2.034 4.841 0.544
0.408 -1.566 7.732

! GGA-PBE MgGa6Ni12, optimized geometry; values from VASP
! SG ... R-3m (166)
&SYSTEM
  ibrav = 0, nat = 19, ntyp = 3
/
ATOMIC_SPECIES
Ni 58.69 Ni.upf
Mg 24.30 Mg.upf
Ga 69.72 Ga.upf
ATOMIC_POSITIONS crystal
Ni 0.114 0.886 0.500
Ni 0.886 0.500 0.114
Ni 0.114 0.500 0.886
Ni 0.620 0.620 0.860
Ni 0.380 0.380 0.140
Ni 0.380 0.140 0.380
Ni 0.620 0.860 0.620
Ni 0.140 0.380 0.380
Ni 0.886 0.114 0.500
Ni 0.500 0.886 0.114
Mg 0.000 0.000 0.000
Ga 0.290 0.718 0.718
Ga 0.282 0.282 0.710
Ni 0.500 0.114 0.886
Ga 0.710 0.282 0.282
Ga 0.718 0.290 0.718
Ga 0.718 0.718 0.290
Ga 0.282 0.710 0.282
Ni 0.860 0.620 0.620
CELL_PARAMETERS angstrom
6.666 -0.071 -0.100
-1.721 6.440 -0.100
-1.721 -2.217 6.047

! GGA-PBE Mg2Ga5Ni3, optimized geometry; values from VASP
! SG ... Cmc2_1 (36)
&SYSTEM
  ibrav = 0, nat = 20, ntyp = 3
/
ATOMIC_SPECIES
Ga 69.72 Ga.upf
Ni 58.69 Ni.upf
Mg 24.30 Mg.upf
ATOMIC_POSITIONS crystal
Ga 0.124 0.263 0.247
Ga 0.944 0.130 0.889
Ni 0.614 0.540 0.227
Ga 0.290 0.474 0.581
Mg 0.179 0.694 0.358
Ga 0.876 0.763 0.753
Ga 0.056 0.630 0.111
Ni 0.770 0.668 0.539
Ga 0.597 0.915 0.193
Mg 0.821 0.194 0.642
Mg 0.476 0.796 0.952
Ni 0.956 0.511 0.912
Ni 0.386 0.040 0.773
Ga 0.403 0.415 0.807
Mg 0.524 0.296 0.048
Ga 0.706 0.375 0.412
Ga 0.710 0.974 0.419
Ga 0.294 0.875 0.588
Ni 0.230 0.168 0.461
Ni 0.044 0.011 0.088
CELL_PARAMETERS angstrom
3.943 0.000 -0.672
0.000 6.636 0.000
-0.019 0.000 11.796

Formation energy from the elements for every record listed, in sequence, given in eV/f.u.: -2.17; -0.60; -3.50; -1.80; -2.56; -2.78.